! NaHg4Pb7, optimized geometry, DFT PBE; values from VASP
&SYSTEM
  ibrav = 0, nat = 12, ntyp = 3
/
ATOMIC_SPECIES
Na 22.99 Na.upf
Hg 200.59 Hg.upf
Pb 207.20 Pb.upf
ATOMIC_POSITIONS angstrom
Na 0.000 0.000 0.000
Hg 0.000 3.154 1.628
Hg 0.000 3.154 4.972
Hg 2.731 1.577 8.532
Hg 2.731 1.577 11.876
Pb 0.000 0.000 3.351
Pb 0.000 0.000 6.752
Pb 0.000 0.000 10.153
Pb 0.000 3.154 8.460
Pb 0.000 3.154 11.785
Pb 2.731 1.577 1.719
Pb 2.731 1.577 5.044
CELL_PARAMETERS angstrom
5.462 0.000 0.000
-2.731 4.731 0.000
0.000 0.000 13.504
! * DFT formation energy: -0.15 eV per formula unit
! * magnetization: 0.00 μB/atom
! * SG: P-3m1, No. 164
! * calculated density: 10.830 Mg/m³
! * Fermi-level density of states: 0.547 states/eV/atom

---

! NaHg2Pb4, optimized geometry, DFT PBE; values from VASP
&SYSTEM
  ibrav = 0, nat = 7, ntyp = 3
/
ATOMIC_SPECIES
Na 22.99 Na.upf
Hg 200.59 Hg.upf
Pb 207.20 Pb.upf
ATOMIC_POSITIONS angstrom
Na 0.000 0.000 0.000
Hg 2.798 1.473 1.711
Hg 2.798 -1.473 1.711
Pb 2.798 7.621 1.711
Pb 2.798 4.473 0.000
Pb 2.798 -4.473 0.000
Pb 2.798 -7.621 1.711
CELL_PARAMETERS angstrom
2.798 -10.909 0.000
2.798 10.909 0.000
0.000 0.000 3.422
! * DFT formation energy: -0.34 eV per formula unit
! * magnetization: 0.00 μB/atom
! * SG: Cmmm, No. 65
! * calculated density: 9.960 Mg/m³
! * Fermi-level density of states: 0.436 states/eV/atom

---

! Na12HgPb6, optimized geometry, DFT PBE; values from VASP
&SYSTEM
  ibrav = 0, nat = 19, ntyp = 3
/
ATOMIC_SPECIES
Na 22.99 Na.upf
Hg 200.59 Hg.upf
Pb 207.20 Pb.upf
ATOMIC_POSITIONS angstrom
Na -1.202 -1.633 1.448
Na -0.813 1.858 1.448
Na -3.202 -1.319 4.378
Na 2.015 -0.225 1.448
Na -0.459 -3.432 4.232
Na -2.743 2.113 4.232
Na 2.743 -2.113 4.378
Na 0.459 3.432 4.378
Na -2.015 0.225 7.162
Na 3.202 1.319 4.232
Na 0.813 -1.858 7.162
Na 1.202 1.633 7.162
Hg 0.000 0.000 4.305
Pb -3.551 -4.815 4.155
Pb -5.946 0.668 4.455
Pb 2.395 -5.483 4.455
Pb -2.395 5.483 4.155
Pb 5.946 -0.668 4.155
Pb 3.551 4.815 4.455
CELL_PARAMETERS angstrom
7.508 4.335 2.870
-7.508 4.335 2.870
0.000 -8.670 2.870
! * DFT formation energy: -2.68 eV per formula unit
! * magnetization: 0.00 μB/atom
! * SG: R-3, No. 148
! * calculated density: 5.095 Mg/m³
! * Fermi-level density of states: 0.354 states/eV/atom

---

! NaHgPb, optimized geometry, DFT PBE; values from VASP
&SYSTEM
  ibrav = 0, nat = 3, ntyp = 3
/
ATOMIC_SPECIES
Na 22.99 Na.upf
Hg 200.59 Hg.upf
Pb 207.20 Pb.upf
ATOMIC_POSITIONS angstrom
Na 0.000 0.000 0.000
Hg 5.339 5.339 5.339
Pb 3.559 3.559 3.559
CELL_PARAMETERS angstrom
0.000 3.559 3.559
3.559 0.000 3.559
3.559 3.559 0.000
! * DFT formation energy: -0.34 eV per formula unit
! * magnetization: 0.00 μB/atom
! * SG: F-43m, No. 216
! * calculated density: 7.933 Mg/m³
! * Fermi-level density of states: 0.619 states/eV/atom